Ce3Zn2Au9 | PBE-GGA | relaxed

Lattice parameters (Å, degrees): 8.652 8.652 8.652 150.24 108.19 79.62
Fractional coordinates of all 14 atoms:
Ce 0.000 0.000 0.000
Ce 0.293 0.293 0.000
Ce 0.707 0.707 0.000
Zn 0.319 0.500 0.819
Zn 0.681 0.500 0.181
Au 0.014 0.648 0.366
Au 0.159 0.864 0.295
Au 0.282 0.648 0.634
Au 0.431 0.136 0.295
Au 0.500 0.000 0.500
Au 0.569 0.864 0.705
Au 0.718 0.352 0.366
Au 0.841 0.136 0.705
Au 0.986 0.352 0.634

As for the space group: Immm. Its total energy is -4.0568 eV per atom. As for the formation energy: -0.50 eV per atom.



CeZn4Au2 | PBE-GGA | relaxed

Lattice parameters (Å, degrees): 7.724 7.724 4.395 90.00 90.00 90.00
Fractional coordinates of all 14 atoms:
Ce 0.000 0.000 0.000
Ce 0.500 0.500 0.500
Zn 0.096 0.351 0.500
Zn 0.149 0.596 0.000
Zn 0.351 0.096 0.500
Zn 0.404 0.851 0.000
Zn 0.596 0.149 0.000
Zn 0.649 0.904 0.500
Zn 0.851 0.404 0.000
Zn 0.904 0.649 0.500
Au 0.210 0.790 0.500
Au 0.290 0.290 0.000
Au 0.710 0.710 0.000
Au 0.790 0.210 0.500

As for the space group: P4_2/mnm. Its total energy is -2.8814 eV per atom. As for the formation energy: -0.37 eV per atom.



CeZn2Au9 | PBE-GGA | relaxed

Lattice parameters (Å, degrees): 8.784 8.784 8.784 99.73 99.73 131.46
Fractional coordinates of all 24 atoms:
Ce 0.375 0.625 0.750
Ce 0.625 0.375 0.250
Zn 0.000 0.000 0.000
Zn 0.000 0.000 0.500
Zn 0.000 0.500 0.000
Zn 0.500 0.000 0.500
Au 0.120 0.554 0.324
Au 0.120 0.796 0.566
Au 0.125 0.875 0.250
Au 0.204 0.270 0.324
Au 0.204 0.880 0.934
Au 0.270 0.204 0.824
Au 0.270 0.446 0.066
Au 0.446 0.270 0.566
Au 0.446 0.880 0.176
Au 0.554 0.120 0.824
Au 0.554 0.730 0.434
Au 0.730 0.554 0.934
Au 0.730 0.796 0.176
Au 0.796 0.120 0.066
Au 0.796 0.730 0.676
Au 0.875 0.125 0.750
Au 0.880 0.204 0.434
Au 0.880 0.446 0.676

As for the space group: I4_1/amd. Its total energy is -3.4158 eV per atom. As for the formation energy: -0.25 eV per atom.



CeZn3Au | PBE-GGA | relaxed

Lattice parameters (Å, degrees): 8.849 4.844 8.886 90.00 90.00 90.00
Fractional coordinates of all 20 atoms:
Ce 0.248 0.250 0.001
Ce 0.252 0.750 0.501
Ce 0.748 0.250 0.499
Ce 0.752 0.750 0.999
Zn 0.096 0.250 0.358
Zn 0.101 0.250 0.653
Zn 0.101 0.750 0.154
Zn 0.399 0.250 0.654
Zn 0.399 0.750 0.153
Zn 0.404 0.750 0.858
Zn 0.596 0.250 0.142
Zn 0.601 0.250 0.847
Zn 0.601 0.750 0.346
Zn 0.899 0.250 0.846
Zn 0.899 0.750 0.347
Zn 0.904 0.750 0.642
Au 0.099 0.750 0.849
Au 0.401 0.250 0.349
Au 0.599 0.750 0.651
Au 0.901 0.250 0.151

As for the space group: Pnma. The energy above the most stable polymorph in this dataset is 2 meV/atom. Its total energy is -2.9798 eV per atom. As for the formation energy: -0.37 eV per atom.



Ce3ZnAu2 | PBE-GGA | relaxed

Lattice parameters (Å, degrees): 8.070 8.070 3.842 90.00 90.00 143.60
Fractional coordinates of all 6 atoms:
Ce 0.000 0.000 0.000
Ce 0.325 0.675 0.000
Ce 0.675 0.325 0.000
Zn 0.500 0.500 0.500
Au 0.154 0.846 0.500
Au 0.846 0.154 0.500

As for the space group: Cmmm. The energy above the most stable polymorph in this dataset is 0 meV/atom. Its total energy is -4.7234 eV per atom. As for the formation energy: -0.45 eV per atom.



Ce2Zn12Au7 | PBE-GGA | relaxed

Lattice parameters (Å, degrees): 10.460 10.460 4.185 90.00 90.00 120.00
Fractional coordinates of all 21 atoms:
Ce 0.333 0.667 0.247
Ce 0.667 0.333 0.753
Zn 0.044 0.430 0.750
Zn 0.117 0.264 0.242
Zn 0.147 0.883 0.242
Zn 0.264 0.147 0.758
Zn 0.386 0.956 0.750
Zn 0.430 0.386 0.250
Zn 0.570 0.614 0.750
Zn 0.614 0.044 0.250
Zn 0.736 0.853 0.242
Zn 0.853 0.117 0.758
Zn 0.883 0.736 0.758
Zn 0.956 0.570 0.250
Au 0.000 0.000 0.500
Au 0.128 0.713 0.749
Au 0.287 0.415 0.749
Au 0.415 0.128 0.251
Au 0.585 0.872 0.749
Au 0.713 0.585 0.251
Au 0.872 0.287 0.251

As for the space group: P-3. Its total energy is -2.6988 eV per atom. As for the formation energy: -0.31 eV per atom.



CeZn4Au4 | PBE-GGA | relaxed

Lattice parameters (Å, degrees): 6.615 6.615 6.615 96.48 96.48 140.74
Fractional coordinates of all 9 atoms:
Ce 0.000 0.000 0.000
Zn 0.094 0.613 0.706
Zn 0.387 0.094 0.481
Zn 0.613 0.906 0.519
Zn 0.906 0.387 0.294
Au 0.280 0.373 0.653
Au 0.373 0.720 0.093
Au 0.627 0.280 0.907
Au 0.720 0.627 0.347

As for the space group: I4/m. Its total energy is -2.9813 eV per atom. As for the formation energy: -0.30 eV per atom.



CeZn3Au4 | PBE-GGA | relaxed

Lattice parameters (Å, degrees): 4.692 4.692 7.427 90.00 90.00 90.18
Fractional coordinates of all 8 atoms:
Ce 0.000 0.000 0.000
Zn 0.000 0.000 0.500
Zn 0.500 0.500 0.164
Zn 0.500 0.500 0.836
Au 0.000 0.500 0.306
Au 0.000 0.500 0.694
Au 0.500 0.000 0.306
Au 0.500 0.000 0.694

As for the space group: Cmmm. Its total energy is -3.1804 eV per atom. As for the formation energy: -0.32 eV per atom.



CeZn2Au2 | PBE-GGA | relaxed

Lattice parameters (Å, degrees): 6.826 6.826 6.826 145.06 145.06 50.25
Fractional coordinates of all 5 atoms:
Ce 0.000 0.000 0.000
Zn 0.250 0.750 0.500
Zn 0.750 0.250 0.500
Au 0.388 0.388 0.000
Au 0.612 0.612 0.000

As for the space group: I4/mmm. The energy above the most stable polymorph in this dataset is 0 meV/atom. Its total energy is -3.4770 eV per atom. As for the formation energy: -0.47 eV per atom.



Ce2ZnAu | PBE-GGA | relaxed

Lattice parameters (Å, degrees): 11.676 11.676 11.676 15.04 15.04 15.04
Fractional coordinates of all 4 atoms:
Ce 0.090 0.090 0.090
Ce 0.910 0.910 0.910
Zn 0.000 0.000 0.000
Au 0.500 0.500 0.500

As for the space group: R-3m. Its total energy is -4.0248 eV per atom. As for the formation energy: 0.08 eV per atom.



CeZn6Au3 | PBE-GGA | relaxed

Lattice parameters (Å, degrees): 9.549 4.339 9.812 90.00 116.82 90.00
Fractional coordinates of all 20 atoms:
Ce 0.080 0.250 0.242
Ce 0.920 0.750 0.758
Zn 0.120 0.250 0.670
Zn 0.161 0.750 0.526
Zn 0.180 0.250 0.955
Zn 0.373 0.750 0.425
Zn 0.449 0.250 0.247
Zn 0.473 0.250 0.896
Zn 0.527 0.750 0.104
Zn 0.551 0.750 0.753
Zn 0.627 0.250 0.575
Zn 0.820 0.750 0.045
Zn 0.839 0.250 0.474
Zn 0.880 0.750 0.330
Au 0.238 0.750 0.125
Au 0.284 0.750 0.832
Au 0.356 0.250 0.585
Au 0.644 0.750 0.415
Au 0.716 0.250 0.168
Au 0.762 0.250 0.875

As for the space group: P2_1/m. Its total energy is -2.6484 eV per atom. As for the formation energy: -0.31 eV per atom.



CeZn5Au3 | PBE-GGA | relaxed

Lattice parameters (Å, degrees): 7.054 7.054 12.416 90.00 90.00 145.75
Fractional coordinates of all 18 atoms:
Ce 0.181 0.819 0.750
Ce 0.819 0.181 0.250
Zn 0.000 0.000 0.000
Zn 0.000 0.000 0.500
Zn 0.194 0.806 0.044
Zn 0.194 0.806 0.456
Zn 0.433 0.567 0.644
Zn 0.433 0.567 0.856
Zn 0.567 0.433 0.144
Zn 0.567 0.433 0.356
Zn 0.806 0.194 0.544
Zn 0.806 0.194 0.956
Au 0.141 0.859 0.250
Au 0.385 0.615 0.074
Au 0.385 0.615 0.426
Au 0.615 0.385 0.574
Au 0.615 0.385 0.926
Au 0.859 0.141 0.750

As for the space group: Cmcm. Its total energy is -2.7715 eV per atom. As for the formation energy: -0.31 eV per atom.



Ce5Zn3Au3 | PBE-GGA | relaxed

Lattice parameters (Å, degrees): 9.681 9.681 3.020 90.00 90.00 120.00
Fractional coordinates of all 11 atoms:
Ce 0.000 0.357 0.000
Ce 0.333 0.667 0.000
Ce 0.357 0.000 0.000
Ce 0.643 0.643 0.000
Ce 0.667 0.333 0.000
Zn 0.000 0.851 0.000
Zn 0.149 0.149 0.000
Zn 0.851 0.000 0.000
Au 0.000 0.631 0.500
Au 0.369 0.369 0.500
Au 0.631 0.000 0.500

As for the space group: P-62m. Its total energy is -4.0426 eV per atom. As for the formation energy: -0.10 eV per atom.



CeZn6Au6 | PBE-GGA | relaxed

Lattice parameters (Å, degrees): 7.104 7.104 7.104 136.64 100.25 95.45
Fractional coordinates of all 13 atoms:
Ce 0.000 0.000 0.000
Zn 0.000 0.000 0.500
Zn 0.000 0.500 0.000
Zn 0.242 0.500 0.742
Zn 0.500 0.000 0.000
Zn 0.500 0.500 0.500
Zn 0.758 0.500 0.258
Au 0.179 0.679 0.500
Au 0.337 0.000 0.337
Au 0.342 0.342 0.000
Au 0.658 0.658 0.000
Au 0.663 0.000 0.663
Au 0.821 0.321 0.500

As for the space group: Immm. Its total energy is -2.8904 eV per atom. As for the formation energy: -0.33 eV per atom.



CeZnAu | PBE-GGA | relaxed

Lattice parameters (Å, degrees): 5.733 5.733 6.732 125.06 125.06 48.34
Fractional coordinates of all 6 atoms:
Ce 0.013 0.013 0.279
Ce 0.987 0.987 0.721
Zn 0.342 0.342 0.865
Zn 0.658 0.658 0.135
Au 0.320 0.320 0.305
Au 0.680 0.680 0.695

As for the space group: C2/m. Its total energy is -4.0533 eV per atom. As for the formation energy: -0.56 eV per atom.



Ce8ZnAu2 | PBE-GGA | relaxed

Lattice parameters (Å, degrees): 8.029 8.029 7.329 111.61 111.61 37.71
Fractional coordinates of all 11 atoms:
Ce 0.052 0.052 0.284
Ce 0.134 0.134 0.688
Ce 0.323 0.323 0.597
Ce 0.411 0.411 0.011
Ce 0.589 0.589 0.989
Ce 0.677 0.677 0.403
Ce 0.866 0.866 0.312
Ce 0.948 0.948 0.716
Zn 0.500 0.500 0.500
Au 0.226 0.226 0.146
Au 0.774 0.774 0.854

As for the space group: C2/m. Its total energy is -5.2547 eV per atom. As for the formation energy: -0.23 eV per atom.



CeZn2Au2 | PBE-GGA | relaxed

Lattice parameters (Å, degrees): 9.080 4.740 9.392 90.00 90.00 90.00
Fractional coordinates of all 20 atoms:
Ce 0.245 0.250 0.156
Ce 0.255 0.750 0.656
Ce 0.745 0.250 0.344
Ce 0.755 0.750 0.844
Zn 0.105 0.750 0.961
Zn 0.130 0.750 0.345
Zn 0.370 0.250 0.845
Zn 0.395 0.250 0.461
Zn 0.605 0.750 0.539
Zn 0.630 0.750 0.155
Zn 0.870 0.250 0.655
Zn 0.895 0.250 0.039
Au 0.083 0.250 0.829
Au 0.100 0.250 0.480
Au 0.400 0.750 0.980
Au 0.417 0.750 0.329
Au 0.583 0.250 0.671
Au 0.600 0.250 0.020
Au 0.900 0.750 0.520
Au 0.917 0.750 0.171

As for the space group: Pnma. The energy above the most stable polymorph in this dataset is 8 meV/atom. Its total energy is -3.4685 eV per atom. As for the formation energy: -0.46 eV per atom.



CeZn2Au3 | PBE-GGA | relaxed

Lattice parameters (Å, degrees): 6.779 6.779 5.376 90.00 90.00 84.76
Fractional coordinates of all 12 atoms:
Ce 0.205 0.795 0.750
Ce 0.795 0.205 0.250
Zn 0.270 0.270 0.000
Zn 0.270 0.270 0.500
Zn 0.730 0.730 0.000
Zn 0.730 0.730 0.500
Au 0.042 0.607 0.250
Au 0.393 0.958 0.250
Au 0.452 0.548 0.250
Au 0.548 0.452 0.750
Au 0.607 0.042 0.750
Au 0.958 0.393 0.750

As for the space group: Cmcm. The energy above the most stable polymorph in this dataset is 18 meV/atom. Its total energy is -3.4841 eV per atom. As for the formation energy: -0.43 eV per atom.



CeZn2Au3 | PBE-GGA | relaxed

Lattice parameters (Å, degrees): 4.571 4.571 13.177 90.00 90.00 120.00
Fractional coordinates of all 12 atoms:
Ce 0.000 0.000 0.250
Ce 0.000 0.000 0.750
Zn 0.333 0.667 0.087
Zn 0.333 0.667 0.413
Zn 0.667 0.333 0.587
Zn 0.667 0.333 0.913
Au 0.000 0.000 0.000
Au 0.000 0.000 0.500
Au 0.333 0.667 0.624
Au 0.333 0.667 0.876
Au 0.667 0.333 0.124
Au 0.667 0.333 0.376

As for the space group: P6_3/mmc. The energy above the most stable polymorph in this dataset is 0 meV/atom. Its total energy is -3.5025 eV per atom. As for the formation energy: -0.45 eV per atom.